No. 1
Here is a relaxed structure of CeAlSiIr from Alexandria. Energies are from PBE.

Computed properties:
- Energy relative to the elements, uncorrected: -517 meV per atom
- Final energy: -26.0 eV/cell
- Crystal system: orthorhombic
- Mass density: 7.66 Mg/m³
- Space group: Imm2

Lattice parameters (Å, degrees): 4.3284 4.0375 5.6463 110.95 112.54 90.00
With the nearest neighbours (Å) after each atom.
Positions (direct):
1 Ce 0.9545 0.9545 0.9090  4 Ir 3.14, 4 Si 3.14-3.24, 5 Al 3.26-3.44
2 Al 0.5966 0.5966 0.1931  1 Ir 2.41, 2 Si 2.46
3 Si 0.2182 0.7182 0.4364  2 Ir 2.36, 2 Al 2.46
4 Ir 0.3461 0.3461 0.6921  2 Si 2.36, 1 Al 2.41

=====

No. 2
Here is a relaxed structure of Ce2AlSiIr6 from Alexandria. Energies are from PBE.

Computed properties:
- Energy relative to the elements, uncorrected: -163 meV per atom
- Final energy: -75.8 eV/cell
- Crystal system: trigonal
- Mass density: 13.15 Mg/m³
- Space group: R-3m

Lattice parameters (Å, degrees): 6.4312 6.4253 6.4267 60.02 60.04 90.01
With the nearest neighbours (Å) after each atom.
Positions (direct):
1 Ce 0.2500 0.7500 0.5000  12 Ir 3.21-3.22
2 Ce 0.7500 0.2500 0.5000  12 Ir 3.21-3.22
3 Al 0.5000 0.5000 0.0000  6 Ir 2.30-2.31
4 Si 0.0000 0.0000 0.0000  6 Ir 2.24
5 Ir 0.2465 0.7535 0.0000  1 Si 2.24, 1 Al 2.30
6 Ir 0.7536 0.7535 0.9999  1 Si 2.24, 1 Al 2.30
7 Ir 0.2464 0.2464 0.5071  1 Si 2.24, 1 Al 2.31
8 Ir 0.7535 0.2465 0.0000  1 Si 2.24, 1 Al 2.30
9 Ir 0.2464 0.2465 0.0001  1 Si 2.24, 1 Al 2.30
10 Ir 0.7536 0.7536 0.4929  1 Si 2.24, 1 Al 2.31

=====

> The highest mass density belongs to which entry?

Ce2AlSiIr6

=====

> Which of these has the lowest energy relative to the elements, uncorrected?

CeAlSiIr

=====

Please write out number 1 again, unchanged.
Here is a relaxed structure of CeAlSiIr from Alexandria. Energies are from PBE.

Computed properties:
- Energy relative to the elements, uncorrected: -517 meV per atom
- Final energy: -26.0 eV/cell
- Crystal system: orthorhombic
- Mass density: 7.66 Mg/m³
- Space group: Imm2

Lattice parameters (Å, degrees): 4.3284 4.0375 5.6463 110.95 112.54 90.00
With the nearest neighbours (Å) after each atom.
Positions (direct):
1 Ce 0.9545 0.9545 0.9090  4 Ir 3.14, 4 Si 3.14-3.24, 5 Al 3.26-3.44
2 Al 0.5966 0.5966 0.1931  1 Ir 2.41, 2 Si 2.46
3 Si 0.2182 0.7182 0.4364  2 Ir 2.36, 2 Al 2.46
4 Ir 0.3461 0.3461 0.6921  2 Si 2.36, 1 Al 2.41